{
  "formula": "NaP2WO",
  "functional": "PBE+U",
  "state": "relaxed",
  "cell": [[4.8800, 0.0000, 0.0000], [0.0000, 4.8800, 0.0000], [0.0000, 0.0000, 3.8835]],
  "species": ["Na", "P", "P", "W", "O"],
  "fractional_positions": [[0.0000, 0.0000, 0.0000], [0.0000, 0.5000, 0.5000], [0.5000, 0.0000, 0.5000], [0.5000, 0.5000, 0.5000], [0.5000, 0.5000, 0.0000]],
  "dos_ef_per_ev_atom": 0.55,
  "e_tot_ev_per_atom": -5.152,
  "e_above_lowest_polymorph_mev_per_atom": 0.0
}